# 1
The following is a DFT calculation (PBE-GGA) of a relaxed TcIrPb crystal.

Cell and atoms, written as POSCAR:
```
TcIrPb
1.0
0.000 3.116 3.116
3.116 0.000 3.116
3.116 3.116 0.000
Tc Ir Pb
1 1 1
Direct
0.000 0.000 0.000 Tc
0.750 0.750 0.750 Ir
0.500 0.500 0.500 Pb
```

Values from the calculation:
ΔH_f (0 K) = 559.5 meV per atom
offset from the most stable computed form = 0.506 eV/f.u.

***

# 2
The following is a DFT calculation (PBE-GGA) of a relaxed LiPuTl2I6 crystal.

Cell and atoms, written as POSCAR:
```
LiPuTl2I6
1.0
8.024 0.000 0.000
0.000 8.612 0.000
-7.886 0.000 11.639
Li Pu Tl I
2 2 4 12
Direct
0.000 0.000 0.000 Li
0.000 0.500 0.500 Li
0.500 0.000 0.500 Pu
0.500 0.500 0.000 Pu
0.208 0.094 0.743 Tl
0.208 0.406 0.243 Tl
0.792 0.594 0.757 Tl
0.792 0.906 0.257 Tl
0.134 0.197 0.449 I
0.134 0.303 0.949 I
0.260 0.692 0.445 I
0.260 0.808 0.945 I
0.356 0.019 0.245 I
0.356 0.481 0.745 I
0.644 0.519 0.255 I
0.644 0.981 0.755 I
0.740 0.192 0.055 I
0.740 0.308 0.555 I
0.866 0.697 0.051 I
0.866 0.803 0.551 I
```

Values from the calculation:
formation energy (no corrections) = -9.2 eV/f.u.

***

# 3
The following is a DFT calculation (PBE-GGA) of a relaxed CsInSe2 crystal.

Cell and atoms, written as POSCAR:
```
CsInSe2
1.0
6.288 0.000 0.000
0.000 6.288 0.000
0.000 0.000 3.194
Cs In Se
1 1 2
Direct
0.000 0.000 0.000 Cs
0.500 0.500 0.000 In
0.000 0.500 0.500 Se
0.500 0.000 0.500 Se
```

Values from the calculation:
formation energy (no corrections) = -1.1 eV/f.u.

***

# 4
The following is a DFT calculation (PBE-GGA) of a relaxed LaPm4Er3 crystal.

Cell and atoms, written as POSCAR:
```
LaPm4Er3
1.0
-1.741 5.880 6.522
1.741 -5.880 6.522
1.741 5.880 -6.522
La Pm Er
1 4 3
Direct
0.000 0.000 0.000 La
0.117 0.866 0.251 Pm
0.384 0.134 0.251 Pm
0.616 0.866 0.749 Pm
0.883 0.134 0.749 Pm
0.242 0.742 0.500 Er
0.500 0.500 0.000 Er
0.758 0.258 0.500 Er
```

Values from the calculation:
ΔH_f (0 K) = 132.7 meV per atom
offset from the most stable computed form = 0.830 eV/f.u.

***

# 5
The following is a DFT calculation (PBE-GGA) of a relaxed TlSbSe2 crystal.

Cell and atoms, written as POSCAR:
```
TlSbSe2
1.0
3.606 0.000 0.000
0.000 3.606 0.000
0.000 0.000 9.053
Tl Sb Se
1 1 2
Direct
0.000 0.000 0.000 Tl
0.500 0.500 0.326 Sb
0.000 0.000 0.464 Se
0.500 0.500 0.810 Se
```

Values from the calculation:
formation energy (no corrections) = 0.2 eV/f.u.

***

# 6
The following is a DFT calculation (PBE-GGA) of a relaxed LaHoMoN3 crystal.

Cell and atoms, written as POSCAR:
```
LaHoMoN3
1.0
6.309 0.000 0.000
0.000 3.524 0.000
-2.245 0.000 8.849
La Ho Mo N
2 2 2 6
Direct
0.164 0.250 0.190 La
0.836 0.750 0.810 La
0.359 0.250 0.855 Ho
0.641 0.750 0.145 Ho
0.150 0.750 0.576 Mo
0.850 0.250 0.424 Mo
0.023 0.250 0.658 N
0.264 0.750 0.017 N
0.434 0.750 0.703 N
0.566 0.250 0.297 N
0.736 0.250 0.983 N
0.977 0.750 0.342 N
```

Values from the calculation:
formation energy (no corrections) = -6.4 eV/f.u.

***

# 7
The following is a DFT calculation (PBE-GGA) of a relaxed AcNdSm2Ho4 crystal.

Cell and atoms, written as POSCAR:
```
AcNdSm2Ho4
1.0
-3.465 5.984 6.731
3.465 -5.984 6.731
3.465 5.984 -6.731
Ac Nd Sm Ho
2 2 4 8
Direct
0.000 0.000 0.000 Ac
0.500 0.000 0.500 Ac
0.500 0.000 0.000 Nd
0.500 0.500 0.500 Nd
0.000 0.000 0.500 Sm
0.000 0.500 0.000 Sm
0.000 0.500 0.500 Sm
0.500 0.500 0.000 Sm
0.240 0.742 0.499 Ho
0.249 0.261 0.513 Ho
0.249 0.736 0.987 Ho
0.257 0.258 0.999 Ho
0.743 0.742 0.001 Ho
0.751 0.264 0.013 Ho
0.751 0.739 0.487 Ho
0.760 0.258 0.501 Ho
```

Values from the calculation:
ΔH_f (0 K) = 430.2 meV per atom

***

# 8
The following is a DFT calculation (PBE-GGA) of a relaxed RbTeP crystal.

Cell and atoms, written as POSCAR:
```
RbTeP
1.0
5.180 0.000 0.000
1.305 6.005 0.000
1.153 0.692 8.193
Rb Te P
2 2 2
Direct
0.000 0.000 0.000 Rb
0.064 0.363 0.492 Rb
0.475 0.470 0.807 Te
0.526 0.727 0.283 Te
0.613 0.827 0.727 P
0.640 0.944 0.483 P
```

Values from the calculation:
offset from the most stable computed form = 0.078 eV/f.u.
formation energy (no corrections) = -1.4 eV/f.u.